Entry from Alexandria: a relaxed structure of LiNiAs2O8 (GGA+U).

Cell and atoms, written as POSCAR:
```
LiNiAs2O8
1.0
5.556 0.000 0.000
-2.778 4.811 0.000
0.000 0.000 5.652
Li Ni As O
1 1 2 8
Direct
0.000 0.000 0.000
0.000 0.000 0.500
0.333 0.667 0.648
0.667 0.333 0.352
0.163 0.325 0.738
0.163 0.837 0.738
0.325 0.163 0.262
0.333 0.667 0.336
0.667 0.333 0.664
0.675 0.837 0.738
0.837 0.163 0.262
0.837 0.675 0.262
```

- Density: 3.77 g cm⁻³
- Space group: P-3m1
- Total DFT energy (no corrections): -5.296 eV per atom